The following is a PBE calculation of a geometry-optimized Tl4InSn structure, from Alexandria.

Unit cell a=5.141 b=6.003 c=6.808 alpha=108.67 beta=90.00 gamma=115.35
Fractional coordinates of all 6 atoms:
Tl: 0.335 0.670 0.671
Tl: 0.334 0.669 0.169
Tl: 0.666 0.331 0.831
Tl: 0.665 0.330 0.329
Sn: 0.000 0.000 0.000
In: 0.000 0.000 0.500

Results
Total magnetic moment   0.0 μB per cell
Energy of formation   0.028 eV/atom
Density   9.830 g/cm3
Energy relative to the lowest polymorph listed for this composition   0.00 eV/f.u.